Model i:
VASP calculation (PBE+U) on an optimized crystal structure of VGaF2.

Unit cell a=4.9978 b=4.9978 c=12.2477 alpha=90.00 beta=90.00 gamma=90.00
Space group I-42d (No. 122)
One atom of each set of equivalent atoms:
1 V 0.0000 0.0000 0.0000 [4 per cell]
2 Ga 0.0000 0.0000 0.5000 [4 per cell]
3 F 0.0851 0.2500 0.1250 [8 per cell]

=====

Model ii:
VASP calculation (PBE+U) on an optimized crystal structure of VGaF2.

Unit cell a=3.2544 b=3.2544 c=25.6142 alpha=90.00 beta=90.00 gamma=120.00
Space group R-3m (No. 166, hexagonal axes)
One atom of each set of equivalent atoms:
1 V 0.0000 0.0000 0.0000 [3 per cell]
2 Ga 0.0000 0.0000 0.5000 [3 per cell]
3 F 0.0000 0.0000 0.3721 [6 per cell]

=====

Model iii:
VASP calculation (PBE+U) on an optimized crystal structure of VGaF2.

Unit cell a=6.1118 b=6.1118 c=6.1118 alpha=90.00 beta=90.00 gamma=90.00
Space group Fm-3m (No. 225)
One atom of each set of equivalent atoms:
1 V 0.0000 0.0000 0.0000 [4 per cell]
2 Ga 0.0000 0.0000 0.5000 [4 per cell]
3 F 0.2500 0.2500 0.2500 [8 per cell]

=====

It is model ii that is most stable; the runner-up trails by 0.414 eV/atom.

=====

Model i:
VASP calculation (PBE+U) on an optimized crystal structure of VGa2F.

Unit cell a=6.4729 b=6.4729 c=6.4729 alpha=90.00 beta=90.00 gamma=90.00
Space group Fm-3m (No. 225)
One atom of each set of equivalent atoms:
1 V 0.0000 0.0000 0.0000 [4 per cell]
2 Ga 0.2500 0.2500 0.2500 [8 per cell]
3 F 0.0000 0.0000 0.5000 [4 per cell]

=====

Model ii:
VASP calculation (PBE+U) on an optimized crystal structure of VGa2F.

Unit cell a=8.4887 b=8.4887 c=4.2424 alpha=90.00 beta=90.00 gamma=90.00
Space group I-42d (No. 122)
One atom of each set of equivalent atoms:
1 V 0.0000 0.0000 0.0000 [4 per cell]
2 Ga 0.1685 0.2500 0.6250 [8 per cell]
3 F 0.0000 0.0000 0.5000 [4 per cell]

=====

It is model ii that is most stable; the runner-up trails by 0.294 eV/atom.

=====

Model i:
VASP calculation (PBE+U) on an optimized crystal structure of GaWF2.

Unit cell a=6.0806 b=6.0806 c=6.0806 alpha=90.00 beta=90.00 gamma=90.00
Space group Fm-3m (No. 225)
One atom of each set of equivalent atoms:
1 Ga 0.0000 0.0000 0.0000 [4 per cell]
2 W 0.0000 0.0000 0.5000 [4 per cell]
3 F 0.2500 0.2500 0.2500 [8 per cell]

=====

Model ii:
VASP calculation (PBE+U) on an optimized crystal structure of GaWF2.

Unit cell a=2.9110 b=2.9110 c=25.6925 alpha=90.00 beta=90.00 gamma=120.00
Space group R-3m (No. 166, hexagonal axes)
One atom of each set of equivalent atoms:
1 Ga 0.0000 0.0000 0.0000 [3 per cell]
2 W 0.0000 0.0000 0.5000 [3 per cell]
3 F 0.0000 0.0000 0.4234 [6 per cell]

=====

It is model ii that is most stable; the runner-up trails by 0.774 eV/atom.